# 1
An optimized crystal structure of PdPtS2, computed with GGA-PBE. Values from VASP.

Output
* space group: Pmmm (47)

The structure in Quantum ESPRESSO input format:
```
&SYSTEM
  ibrav = 0, nat = 4, ntyp = 3
/
ATOMIC_SPECIES
Pd 106.42 Pd.upf
Pt 195.08 Pt.upf
S 32.06 S.upf
CELL_PARAMETERS angstrom
3.528 0.000 0.000
0.000 3.530 0.000
0.000 0.000 6.167
ATOMIC_POSITIONS angstrom
Pd 0.000 0.000 0.000
Pt 1.764 1.765 3.083
S 1.764 0.000 1.558
S 1.764 0.000 4.609
```

# 2
An optimized crystal structure of Tl2Pd3PtS6, computed with GGA-PBE. Values from VASP.

Output
* space group: P-3m1 (164)

The structure in Quantum ESPRESSO input format:
```
&SYSTEM
  ibrav = 0, nat = 12, ntyp = 4
/
ATOMIC_SPECIES
Tl 204.38 Tl.upf
Pd 106.42 Pd.upf
Pt 195.08 Pt.upf
S 32.06 S.upf
CELL_PARAMETERS angstrom
7.142 0.000 0.000
-3.571 6.186 0.000
0.000 0.000 6.138
ATOMIC_POSITIONS angstrom
Tl 0.000 4.124 2.337
Tl 3.571 2.062 3.802
Pd -1.786 3.093 0.000
Pd 3.571 0.000 0.000
Pd 1.786 3.093 0.000
Pt 0.000 0.000 0.000
S 0.000 2.092 4.943
S -1.759 5.139 4.943
S 1.812 1.046 1.195
S 1.759 5.139 4.943
S 5.330 1.046 1.195
S 3.571 4.093 1.195
```

# 3
An optimized crystal structure of Tl2PdPt3S6, computed with GGA-PBE. Values from VASP.

Output
* space group: P-3m1 (164)

The structure in Quantum ESPRESSO input format:
```
&SYSTEM
  ibrav = 0, nat = 12, ntyp = 4
/
ATOMIC_SPECIES
Tl 204.38 Tl.upf
Pd 106.42 Pd.upf
Pt 195.08 Pt.upf
S 32.06 S.upf
CELL_PARAMETERS angstrom
7.223 0.000 0.000
-3.611 6.255 0.000
0.000 0.000 6.025
ATOMIC_POSITIONS angstrom
Tl 0.000 4.170 2.280
Tl 3.611 2.085 3.746
Pd 0.000 0.000 0.000
Pt -1.806 3.128 0.000
Pt 3.611 0.000 0.000
Pt 1.806 3.128 0.000
S 0.000 2.143 4.864
S -1.756 5.184 4.864
S 1.856 1.071 1.161
S 1.756 5.184 4.864
S 5.367 1.071 1.161
S 3.611 4.112 1.161
```

# 4
An optimized crystal structure of SbPdPt2, computed with GGA-PBE. Values from VASP.

Output
* space group: F-43m (216)

The structure in Quantum ESPRESSO input format:
```
&SYSTEM
  ibrav = 0, nat = 4, ntyp = 3
/
ATOMIC_SPECIES
Sb 121.76 Sb.upf
Pd 106.42 Pd.upf
Pt 195.08 Pt.upf
CELL_PARAMETERS angstrom
0.000 3.244 3.244
3.244 0.000 3.244
3.244 3.244 0.000
ATOMIC_POSITIONS angstrom
Sb 0.000 0.000 0.000
Pd 1.622 1.622 1.622
Pt 3.244 3.244 3.244
Pt 4.866 4.866 4.866
```

| no. | DFT total energy (eV/cell) |
| --- | --- |
| 1 | -21.03 |
| 2 | -55.87 |
| 3 | -57.73 |
| 4 | -22.23 |